Record 1
This record from Alexandria describes K2Rb6NaAu after structural relaxation. The functional is PBE-GGA.

spin magnetization	0.000	μB/atom
DFT formation energy	-0.026	eV per atom
space group	P2_1/c (14)
electronic total energy	-25.7	eV/cell

Unit cell a=9.2001 b=10.8600 c=14.7197 alpha=90.00 beta=79.51 gamma=90.00
Atoms (fractional coordinates):
K (0.1870, 0.8998, 0.2395)
K (0.6870, 0.6002, 0.7395)
K (0.8130, 0.1002, 0.7605)
K (0.3130, 0.3998, 0.2605)
Rb (0.3302, 0.6505, 0.0067)
Rb (0.8302, 0.8495, 0.5067)
Rb (0.6698, 0.3495, 0.9933)
Rb (0.1698, 0.1505, 0.4933)
Rb (0.3803, 0.7016, 0.4753)
Rb (0.8803, 0.7984, 0.9753)
Rb (0.6197, 0.2984, 0.5247)
Rb (0.1197, 0.2016, 0.0247)
Rb (0.8418, 0.5424, 0.2376)
Rb (0.3418, 0.9576, 0.7376)
Rb (0.1582, 0.4576, 0.7624)
Rb (0.6582, 0.0424, 0.2624)
Na (0.5000, 0.0000, 0.0000)
Na (0.0000, 0.5000, 0.5000)
Au (0.5000, 0.0000, 0.5000)
Au (0.0000, 0.5000, 0.0000)



Record 2
This record from Alexandria describes VHgTe2 after structural relaxation. The functional is PBE-GGA.

spin magnetization	0.750	μB/atom
energy relative to the elements, uncorrected	0.28	eV per atom
space group	I4/mcm (140)
electronic total energy	-29.2	eV/cell

Unit cell a=7.5663 b=7.5663 c=6.4017 alpha=53.77 beta=53.77 gamma=90.00
Atoms (fractional coordinates):
Te (0.7855, 0.2855, 0.0000)
Te (0.2145, 0.7145, 0.0000)
Te (0.2855, 0.2145, 0.0000)
Te (0.7145, 0.7855, 0.0000)
Hg (0.7500, 0.2500, 0.5000)
Hg (0.2500, 0.7500, 0.5000)
V (0.7500, 0.7500, 0.5000)
V (0.2500, 0.2500, 0.5000)



Record 3
This record from Alexandria describes CdFe2Cu after structural relaxation. The functional is PBE-GGA.

spin magnetization	1.302	μB/atom
DFT formation energy	0.237	eV per atom
space group	Cmm2 (35)
electronic total energy	-21.0	eV/cell

Unit cell a=2.6930 b=2.6930 c=7.9862 alpha=90.00 beta=90.00 gamma=101.56
Atoms (fractional coordinates):
Cd (0.0000, 0.0000, 0.5006)
Cu (0.5000, 0.5000, 0.7754)
Fe (0.0000, 0.0000, 0.0029)
Fe (0.5000, 0.5000, 0.2211)



Record 4
This record from Alexandria describes YOsS2 after structural relaxation. The functional is PBE-GGA.

spin magnetization	0.000	μB/atom
energy relative to the elements, uncorrected	-0.63	eV per atom
space group	I-42d (122)
distance to the lowest polymorph of the same formula	0.0000	eV/atom
electronic total energy	-56.9	eV/cell

Unit cell a=5.0203 b=5.0203 c=7.6603 alpha=70.87 beta=70.87 gamma=90.00
Atoms (fractional coordinates):
Y (0.5000, 0.5000, 0.0000)
Y (0.2500, 0.7500, 0.5000)
S (0.6881, 0.1250, 0.2500)
S (0.0619, 0.6250, 0.2500)
S (0.3750, 0.3119, 0.7500)
S (0.8750, 0.9381, 0.7500)
Os (0.0000, 0.0000, 0.0000)
Os (0.7500, 0.2500, 0.5000)



Record 5
This record from Alexandria describes YLuZn2 after structural relaxation. The functional is PBE-GGA.

spin magnetization	0.003	μB/atom
DFT formation energy	-0.356	eV per atom
space group	P4/mmm (123)
distance to the lowest polymorph of the same formula	0.0034	eV/atom
electronic total energy	-15.0	eV/cell

Unit cell a=3.5283 b=3.5283 c=7.1179 alpha=90.00 beta=90.00 gamma=90.00
Atoms (fractional coordinates):
Y (0.5000, 0.5000, 0.5000)
Zn (0.0000, 0.0000, 0.7627)
Zn (0.0000, 0.0000, 0.2373)
Lu (0.5000, 0.5000, 0.0000)



Record 6
This record from Alexandria describes CaSm7Dy3 after structural relaxation. The functional is PBE-GGA.

spin magnetization	0.000	μB/atom
DFT formation energy	0.219	eV per atom
space group	P3m1 (156)
electronic total energy	-46.4	eV/cell

Unit cell a=8.7154 b=7.1869 c=7.1869 alpha=120.00 beta=90.00 gamma=90.00
Atoms (fractional coordinates):
Ca (0.4455, 0.3333, 0.6667)
Sm (0.1084, 0.1647, 0.8353)
Sm (0.1084, 0.1647, 0.3294)
Sm (0.1237, 0.6667, 0.3333)
Sm (0.4520, 0.8313, 0.1687)
Sm (0.4520, 0.3375, 0.1687)
Sm (0.4520, 0.8313, 0.6625)
Sm (0.1084, 0.6706, 0.8353)
Dy (0.7882, 0.5026, 0.4974)
Dy (0.7882, 0.5026, 0.0052)
Dy (0.7882, 0.9948, 0.4974)



Record 7
This record from Alexandria describes YTcIr after structural relaxation. The functional is PBE-GGA.

spin magnetization	0.874	μB/atom
DFT formation energy	0.989	eV per atom
space group	F-43m (216)
distance to the lowest polymorph of the same formula	1.1938	eV/atom
electronic total energy	-22.7	eV/cell

Unit cell a=4.5286 b=4.5286 c=4.5286 alpha=60.00 beta=60.00 gamma=60.00
Atoms (fractional coordinates):
Ir (0.0000, 0.0000, 0.0000)
Tc (0.5000, 0.5000, 0.5000)
Y (0.7500, 0.7500, 0.7500)



Record 8
This record from Alexandria describes Hf2MgUN4 after structural relaxation. The functional is PBE-GGA.

spin magnetization	0.086	μB/atom
energy relative to the elements, uncorrected	-1.47	eV per atom
space group	I-4m2 (119)
electronic total energy	-77.8	eV/cell

Unit cell a=4.5996 b=4.5996 c=5.6303 alpha=114.11 beta=114.11 gamma=90.00
Atoms (fractional coordinates):
Hf (0.2500, 0.7500, 0.5000)
Hf (0.0000, 0.0000, 0.0000)
Mg (0.5000, 0.5000, 0.0000)
U (0.7500, 0.2500, 0.5000)
N (0.0004, 0.5004, 0.0008)
N (0.4996, 0.9996, 0.9992)
N (0.7500, 0.7500, 0.4999)
N (0.2500, 0.2500, 0.5001)